Record 1
OsCSN2 | SCAN | single point on PBEsol structure

a = 3.4936 Å, b = 3.4936 Å, c = 3.6926 Å
α = 90.00°, β = 90.00°, γ = 90.00°
Fractional coordinates of all 5 atoms:
Os 0.0000 0.0000 0.0000
C 0.5000 0.5000 0.5000
S 0.5000 0.5000 0.0000
N 0.0000 0.5000 0.5000
N 0.5000 0.0000 0.5000

**DFT total energy**: -19.600 eV per atom
**Uncorrected formation energy**: 2.4378 eV per atom

=====

Record 2
SrZr2Sb | SCAN | single point on PBEsol structure

a = 9.4778 Å, b = 3.5893 Å, c = 6.7382 Å
α = 90.00°, β = 98.72°, γ = 90.00°
Fractional coordinates of all 8 atoms:
Sr 0.0000 0.0000 0.0000
Sr 0.5000 0.5000 0.0000
Zr 0.2166 0.0000 0.6329
Zr 0.4728 0.0000 0.5120
Zr 0.7166 0.5000 0.6329
Zr 0.9728 0.5000 0.5120
Sb 0.2436 0.5000 0.2954
Sb 0.7436 0.0000 0.2954

**DFT total energy**: -30.314 eV per atom
**Uncorrected formation energy**: -0.0807 eV per atom

=====

Record 3
MnFeAs4 | SCAN | single point on PBEsol structure

a = 5.3603 Å, b = 5.3603 Å, c = 5.3603 Å
α = 60.00°, β = 60.00°, γ = 60.00°
Fractional coordinates of all 6 atoms:
Mn 0.0000 0.0000 0.0000
Fe 0.2500 0.2500 0.2500
As 0.1258 0.6247 0.6247
As 0.6247 0.1258 0.6247
As 0.6247 0.6247 0.1258
As 0.6247 0.6247 0.6247

**DFT total energy**: -18.922 eV per atom
**Formation energy from the elements**: 0.603 eV/atom